Entry 1:
Material: MgMnCl3
Method: DFT, PBE
State: optimized geometry

- Density of states at the Fermi level: 0.09 states/eV/f.u.
- Space group: Pm-3m (221)
- Electronic total energy: -4.100 eV per atom
- Energy above the most stable polymorph in this dataset: 0.000 eV/atom

```
data_MgMnCl3
_cell_length_a 4.9629
_cell_length_b 4.9629
_cell_length_c 4.9629
_cell_angle_alpha 90.00
_cell_angle_beta 90.00
_cell_angle_gamma 90.00
_symmetry_space_group_name_H-M 'P 1'
_symmetry_Int_Tables_number 1
_symmetry_space_group_name_Hall 'P 1'
loop_
_atom_site_label
_atom_site_type_symbol
_atom_site_fract_x
_atom_site_fract_y
_atom_site_fract_z
Cl1 Cl 0.0000 0.5000 0.0000
Mn1 Mn 0.5000 0.5000 0.5000
Cl2 Cl 0.0000 0.0000 0.5000
Mg1 Mg 0.0000 0.0000 0.0000
Cl3 Cl 0.5000 0.0000 0.0000
```



Entry 2:
Material: MgMn2Cl8
Method: DFT, PBE
State: optimized geometry

- Space group: P-1 (2)
- Electronic total energy: -4.318 eV per atom

```
data_MgMn2Cl8
_cell_length_a 3.7139
_cell_length_b 10.0831
_cell_length_c 9.2634
_cell_angle_alpha 87.65
_cell_angle_beta 117.41
_cell_angle_gamma 93.17
_symmetry_space_group_name_H-M 'P 1'
_symmetry_Int_Tables_number 1
_symmetry_space_group_name_Hall 'P 1'
loop_
_atom_site_label
_atom_site_type_symbol
_atom_site_fract_x
_atom_site_fract_y
_atom_site_fract_z
Cl1 Cl 0.5094 0.2929 0.4934
Mn1 Mn 0.1862 0.7498 0.2492
Cl2 Cl 0.5462 0.6045 0.1896
Cl3 Cl 0.9181 0.8283 0.9683
Cl4 Cl 0.1268 0.0660 0.7122
Cl5 Cl 0.4538 0.3955 0.8104
Cl6 Cl 0.0819 0.1717 0.0317
Cl7 Cl 0.4906 0.7071 0.5066
Cl8 Cl 0.8732 0.9340 0.2878
Mg1 Mg 0.5000 0.0000 0.0000
Mn2 Mn 0.8138 0.2502 0.7508
```



Entry 3:
Material: MgMnCl2
Method: DFT, PBE
State: optimized geometry

- Density of states at the Fermi level: 2.90 states/eV/f.u.
- Space group: I-42d (122)
- Electronic total energy: -3.943 eV per atom
- Energy above the most stable polymorph in this dataset: 0.367 eV/atom

```
data_MgMnCl2
_cell_length_a 5.8387
_cell_length_b 5.8387
_cell_length_c 7.1076
_cell_angle_alpha 65.75
_cell_angle_beta 65.75
_cell_angle_gamma 90.00
_symmetry_space_group_name_H-M 'P 1'
_symmetry_Int_Tables_number 1
_symmetry_space_group_name_Hall 'P 1'
loop_
_atom_site_label
_atom_site_type_symbol
_atom_site_fract_x
_atom_site_fract_y
_atom_site_fract_z
Mn1 Mn 0.0000 0.0000 0.0000
Cl1 Cl 0.6439 0.1250 0.2500
Mg1 Mg 0.2500 0.7500 0.5000
Cl2 Cl 0.8750 0.8939 0.7500
Cl3 Cl 0.3750 0.3561 0.7500
Mn2 Mn 0.7500 0.2500 0.5000
Cl4 Cl 0.1061 0.6250 0.2500
Mg2 Mg 0.5000 0.5000 0.0000
```



Entry 4:
Material: MgMnCl2
Method: DFT, PBE
State: optimized geometry

- Density of states at the Fermi level: 2.27 states/eV/f.u.
- Space group: I-4m2 (119)
- Electronic total energy: -3.920 eV per atom
- Energy above the most stable polymorph in this dataset: 0.391 eV/atom

```
data_MgMnCl2
_cell_length_a 6.7826
_cell_length_b 6.7826
_cell_length_c 6.7826
_cell_angle_alpha 148.12
_cell_angle_beta 148.12
_cell_angle_gamma 45.71
_symmetry_space_group_name_H-M 'P 1'
_symmetry_Int_Tables_number 1
_symmetry_space_group_name_Hall 'P 1'
loop_
_atom_site_label
_atom_site_type_symbol
_atom_site_fract_x
_atom_site_fract_y
_atom_site_fract_z
Mg1 Mg 0.5000 0.5000 0.0000
Cl1 Cl 0.2500 0.7500 0.5000
Cl2 Cl 0.0000 0.0000 0.0000
Mn1 Mn 0.7500 0.2500 0.5000
```



Entry 5:
Material: MgMn3Cl
Method: DFT, PBE
State: optimized geometry

- Density of states at the Fermi level: 1.99 states/eV/f.u.
- Space group: Pm-3m (221)
- Electronic total energy: -5.013 eV per atom
- Energy above the most stable polymorph in this dataset: 0.595 eV/atom

```
data_MgMn3Cl
_cell_length_a 5.1555
_cell_length_b 5.1555
_cell_length_c 5.1555
_cell_angle_alpha 90.00
_cell_angle_beta 90.00
_cell_angle_gamma 90.00
_symmetry_space_group_name_H-M 'P 1'
_symmetry_Int_Tables_number 1
_symmetry_space_group_name_Hall 'P 1'
loop_
_atom_site_label
_atom_site_type_symbol
_atom_site_fract_x
_atom_site_fract_y
_atom_site_fract_z
Mg1 Mg 0.0000 0.0000 0.0000
Mn1 Mn 0.5000 0.0000 0.0000
Mn2 Mn 0.0000 0.5000 0.0000
Mn3 Mn 0.0000 0.0000 0.5000
Cl1 Cl 0.5000 0.5000 0.5000
```



Entry 6:
Material: MgMnCl6
Method: DFT, PBE
State: optimized geometry

- Space group: R-3m (166)
- Electronic total energy: -3.919 eV per atom
- Energy above the most stable polymorph in this dataset: 0.000 eV/atom

```
data_MgMnCl6
_cell_length_a 6.1033
_cell_length_b 7.6908
_cell_length_c 7.6908
_cell_angle_alpha 66.73
_cell_angle_beta 74.66
_cell_angle_gamma 105.34
_symmetry_space_group_name_H-M 'P 1'
_symmetry_Int_Tables_number 1
_symmetry_space_group_name_Hall 'P 1'
loop_
_atom_site_label
_atom_site_type_symbol
_atom_site_fract_x
_atom_site_fract_y
_atom_site_fract_z
Cl1 Cl 0.3891 0.2486 0.7514
Cl2 Cl 0.1404 0.7514 0.0000
Cl3 Cl 0.8596 0.2486 0.0000
Cl4 Cl 0.6109 0.7514 0.2486
Cl5 Cl 0.8596 0.0000 0.7514
Cl6 Cl 0.1404 0.0000 0.2486
Mn1 Mn 0.0000 0.0000 0.0000
Mg1 Mg 0.5000 0.0000 0.0000
```



Entry 7:
Material: MgMn3Cl8
Method: DFT, PBE
State: optimized geometry

- Density of states at the Fermi level: 0.00 states/eV/f.u.
- Space group: C2/m (12)
- Electronic total energy: -4.934 eV per atom

```
data_MgMn3Cl8
_cell_length_a 7.4018
_cell_length_b 7.4013
_cell_length_c 7.8063
_cell_angle_alpha 118.74
_cell_angle_beta 90.00
_cell_angle_gamma 120.00
_symmetry_space_group_name_H-M 'P 1'
_symmetry_Int_Tables_number 1
_symmetry_space_group_name_Hall 'P 1'
loop_
_atom_site_label
_atom_site_type_symbol
_atom_site_fract_x
_atom_site_fract_y
_atom_site_fract_z
Cl1 Cl 0.2375 0.4749 0.2126
Cl2 Cl 0.7627 0.0214 0.7872
Cl3 Cl 0.7625 0.5251 0.7874
Cl4 Cl 0.7413 0.9786 0.2128
Cl5 Cl 0.2611 0.5222 0.7860
Mn1 Mn 0.5000 0.0000 0.0000
Cl6 Cl 0.7389 0.4778 0.2140
Mg1 Mg 0.0000 0.0000 0.0000
Mn2 Mn 0.0000 0.5000 0.0000
Mn3 Mn 0.5000 0.5000 0.0000
Cl7 Cl 0.2587 0.0214 0.7872
Cl8 Cl 0.2373 0.9786 0.2128
```



Entry 8:
Material: MgMnCl2
Method: DFT, PBE
State: optimized geometry

- Density of states at the Fermi level: 1.59 states/eV/f.u.
- Space group: Cmmm (65)
- Electronic total energy: -4.120 eV per atom
- Energy above the most stable polymorph in this dataset: 0.190 eV/atom

```
data_MgMnCl2
_cell_length_a 3.5460
_cell_length_b 3.5460
_cell_length_c 9.4342
_cell_angle_alpha 90.00
_cell_angle_beta 90.00
_cell_angle_gamma 121.79
_symmetry_space_group_name_H-M 'P 1'
_symmetry_Int_Tables_number 1
_symmetry_space_group_name_Hall 'P 1'
loop_
_atom_site_label
_atom_site_type_symbol
_atom_site_fract_x
_atom_site_fract_y
_atom_site_fract_z
Mn1 Mn 0.5000 0.5000 0.7500
Cl1 Cl 0.0000 0.0000 0.9307
Cl2 Cl 0.0000 0.0000 0.5693
Mg1 Mg 0.5000 0.5000 0.2500
```



Look up the electronic total energy of the fourth one. -3.920 eV per atom